No. 1
Ta2Nb7Tc2 (PBE, relaxed); E = -10.36 eV per atom; ΔH_f (0 K) = 8 kJ per mole of atoms; magnetization = 0.000 μB per atom; crystal system = monoclinic; D(E_F) = 12.8 states/eV/f.u.
1.0
-3.7905 -4.2634 -4.5568
2.1655 -4.8416 1.1719
-4.8317 -0.0203 2.4815
Nb Tc Ta
7 2 2
direct
0.6030 0.1259 0.1259 Nb
0.0000 0.0000 0.0000 Nb
0.3970 0.8741 0.8741 Nb
0.8237 0.5197 0.9001 Nb
0.1763 0.4803 0.0999 Nb
0.8237 0.9001 0.5197 Nb
0.1763 0.0999 0.4803 Nb
0.1710 0.5990 0.5990 Tc
0.8290 0.4009 0.4009 Tc
0.5000 0.6882 0.3118 Ta
0.5000 0.3118 0.6882 Ta

No. 2
LaNi2Pd2 (PBE, relaxed); energy above the lowest structure with this stoichiometry = 0.0976 eV per atom; E = -5.63 eV per atom; ΔH_f (0 K) = -24 kJ per mole of atoms; magnetization = 0.000 μB per atom; crystal system = tetragonal; D(E_F) = 6.7 states/eV/f.u.
1.0
6.9223 0.0000 0.0000
0.0000 6.9223 0.0000
0.0000 0.0000 3.4870
Pd La Ni
4 2 4
direct
0.8407 0.3407 0.5000 Pd
0.1593 0.6593 0.5000 Pd
0.3407 0.1593 0.5000 Pd
0.6593 0.8407 0.5000 Pd
0.5000 0.5000 0.0000 La
0.0000 0.0000 0.0000 La
0.1289 0.3711 0.0000 Ni
0.6289 0.1289 0.0000 Ni
0.8711 0.6289 0.0000 Ni
0.3711 0.8711 0.0000 Ni

No. 3
Sm3PdO6 (PBE, relaxed); formation energy (no corrections) = -2.6220 eV per atom; energy above the lowest structure with this stoichiometry = 0.0000 eV per atom; E = -7.53 eV per atom; magnetization = 0.100 μB per atom; crystal system = trigonal
1.0
6.7770 -0.1060 -0.2508
-0.2563 6.7730 -0.2508
-0.1037 -0.1060 6.7809
O Sm Pd
12 6 2
direct
0.4620 0.5853 0.7924 O
0.4147 0.2076 0.5380 O
0.9364 0.6783 0.1012 O
0.5380 0.4147 0.2076 O
0.6783 0.1012 0.9364 O
0.8988 0.0636 0.3217 O
0.3217 0.8988 0.0636 O
0.0636 0.3217 0.8988 O
0.7924 0.4620 0.5853 O
0.5853 0.7924 0.4620 O
0.1012 0.9364 0.6783 O
0.2076 0.5380 0.4147 O
0.9273 0.7463 0.4359 Sm
0.7463 0.4359 0.9273 Sm
0.4359 0.9273 0.7463 Sm
0.2537 0.5641 0.0727 Sm
0.5641 0.0727 0.2537 Sm
0.0727 0.2537 0.5641 Sm
0.5000 0.5000 0.5000 Pd
0.0000 0.0000 0.0000 Pd

No. 4
Na6TmPb12 (PBE, relaxed); E = -3.06 eV per atom; ΔH_f (0 K) = -6 kJ per mole of atoms; magnetization = 0.000 μB per atom; crystal system = trigonal; D(E_F) = 10.8 states/eV/f.u.
1.0
8.5929 -0.3551 -2.1869
-2.7274 8.1563 -2.1869
-0.2670 -0.3551 8.8628
Na Pb Tm
6 12 1
direct
0.0774 0.1986 0.4725 Na
0.5275 0.9226 0.8014 Na
0.8014 0.5275 0.9226 Na
0.9226 0.8014 0.5275 Na
0.4725 0.0774 0.1986 Na
0.1986 0.4725 0.0774 Na
0.7247 0.8548 0.1490 Pb
0.8510 0.2753 0.1452 Pb
0.5908 0.4653 0.1833 Pb
0.1490 0.7247 0.8548 Pb
0.4653 0.1833 0.5908 Pb
0.8167 0.4092 0.5347 Pb
0.1452 0.8510 0.2753 Pb
0.1833 0.5908 0.4653 Pb
0.4092 0.5347 0.8167 Pb
0.8548 0.1490 0.7247 Pb
0.2753 0.1452 0.8510 Pb
0.5347 0.8167 0.4092 Pb
0.0000 0.0000 0.0000 Tm

Q: E of number 2 (LaNi2Pd2)?
A: -5.63 eV per atom

Q: The lowest E belongs to which entry?
A: Ta2Nb7Tc2

Q: Among the records above, which one has the highest E?
A: Na6TmPb12